Record 1
Density functional theory data (GGA-PBE) for an optimized crystal structure of LaPrH.

The structure in POSCAR format:
```
LaPrH
1.0
3.592 0.000 0.000
1.796 6.800 -0.942
1.796 0.808 6.156
La Pr H
2 2 2
Cartesian
3.592 2.731 1.074 La
3.592 4.877 4.140 La
5.387 5.970 0.856 Pr
1.796 1.637 4.358 Pr
3.592 2.898 5.526 H
3.592 4.709 -0.312 H
```

Properties
- E (eV per formula unit) = -13.58
- D(E_F) (states/eV/f.u.) = 3.25
- magnetic moment (μB/atom) = 0.000

=====

Record 2
Density functional theory data (GGA-PBE) for an optimized crystal structure of LaPrH6Pt2.

The structure in POSCAR format:
```
LaPrH6Pt2
1.0
6.450 0.290 -0.418
-0.502 6.437 -0.418
-2.124 -2.402 6.476
H Pr La Pt
12 2 2 4
Cartesian
-0.316 -0.017 3.687 H
-0.974 2.803 2.219 H
2.740 3.438 5.190 H
1.288 2.933 2.155 H
2.536 1.391 3.484 H
1.692 0.436 5.393 H
1.084 0.886 0.449 H
4.139 4.341 1.952 H
1.840 -1.824 5.457 H
1.984 6.148 0.182 H
2.132 3.888 0.246 H
4.797 1.520 3.420 H
3.369 1.943 1.201 Pr
0.454 2.381 4.439 Pr
-0.150 5.055 1.201 La
3.974 -0.731 4.439 La
3.718 2.429 4.293 Pt
0.105 1.895 1.346 Pt
0.806 -0.865 4.584 Pt
3.017 5.189 1.055 Pt
```

Properties
- E (eV per formula unit) = -47.40
- D(E_F) (states/eV/f.u.) = 1.16
- magnetic moment (μB/atom) = 0.000

=====

Record 3
Density functional theory data (GGA-PBE) for an optimized crystal structure of La2Pr4Sb3H2.

The structure in POSCAR format:
```
La2Pr4Sb3H2
1.0
4.860 0.000 0.000
0.000 4.860 0.000
-2.430 -2.430 12.962
Sb Pr La H
3 4 2 2
Cartesian
2.430 2.430 8.472 Sb
0.000 0.000 4.491 Sb
0.000 0.000 0.000 Sb
2.430 0.000 10.847 Pr
0.000 2.430 10.847 Pr
0.000 2.430 2.115 Pr
2.430 0.000 2.115 Pr
0.000 0.000 7.799 La
2.430 2.430 5.164 La
0.000 0.000 10.311 H
2.430 2.430 2.651 H
```

Properties
- E (eV per formula unit) = -56.76
- D(E_F) (states/eV/f.u.) = 8.78
- magnetic moment (μB/atom) = 0.000

=====

Record 4
Density functional theory data (GGA-PBE) for an optimized crystal structure of LaPr2SmH.

The structure in POSCAR format:
```
LaPr2SmH
1.0
-0.598 -3.890 -3.377
2.520 -3.211 3.253
-4.531 -1.266 2.260
H La Pr Sm
1 1 2 1
Cartesian
0.000 0.000 0.000 H
-1.305 -4.183 1.068 La
-2.266 -0.633 1.130 Pr
1.260 -1.606 1.627 Pr
-0.299 -1.945 -1.688 Sm
```

Properties
- E (eV per formula unit) = -23.44
- D(E_F) (states/eV/f.u.) = 4.34
- magnetic moment (μB/atom) = 0.000

=====

Record 5
Density functional theory data (GGA-PBE) for an optimized crystal structure of La2PrSmH.

The structure in POSCAR format:
```
La2PrSmH
1.0
-2.520 0.507 4.511
4.558 -0.315 2.582
0.526 5.213 -0.292
La H Sm Pr
2 1 1 1
Cartesian
0.263 2.607 -0.146 La
2.279 -0.157 1.291 La
0.000 0.000 0.000 H
-1.260 0.253 2.256 Sm
1.282 2.703 3.401 Pr
```

Properties
- E (eV per formula unit) = -23.60
- D(E_F) (states/eV/f.u.) = 4.12
- magnetic moment (μB/atom) = 0.000

=====

Record 6
Density functional theory data (GGA-PBE) for an optimized crystal structure of LaPrSm2H.

The structure in POSCAR format:
```
LaPrSm2H
1.0
5.189 0.000 0.000
0.000 5.169 0.000
0.000 0.000 5.169
Pr H Sm La
1 1 2 1
Cartesian
2.594 0.000 0.000 Pr
0.000 0.000 0.000 H
0.000 0.000 2.584 Sm
0.000 2.584 0.000 Sm
2.594 2.584 2.584 La
```

Properties
- E (eV per formula unit) = -23.37
- D(E_F) (states/eV/f.u.) = 4.35
- magnetic moment (μB/atom) = 0.000